## A
Entry from Alexandria: a relaxed BeAgPS2 crystal (PBE).

Results
Crystal system: tetragonal
SG: No. 123
Total moment, μB per cell: 0.53

Cell lengths 4.8594, 4.8594, 4.6938 Å; angles 90.00, 90.00, 90.00 degrees
Each line ends with the local moment (μB).
Element x y z (fractional)
P 0.0000 0.0000 0.5000  0.22
S 0.0000 0.5000 0.0000  0.03
S 0.5000 0.0000 0.0000  0.03
Ag 0.0000 0.0000 0.0000  0.01
Be 0.5000 0.5000 0.5000  -0.01

=====

## B
Entry from Alexandria: a relaxed BeAgPS2 crystal (PBE).

Results
Crystal system: tetragonal
SG: No. 123
Total moment, μB per cell: 0.00

Cell lengths 4.5439, 4.5439, 4.1133 Å; angles 90.00, 90.00, 90.00 degrees
Element x y z (fractional)
P 0.0000 0.0000 0.5000
S 0.0000 0.5000 0.0000
S 0.5000 0.0000 0.0000
Ag 0.5000 0.5000 0.5000
Be 0.0000 0.0000 0.0000

=====

What should be chosen as the most stable of them? Choose B.